No. 1
This record from Alexandria describes a relaxed LiNpAgF6 crystal. The functional is PBE.

a b c (Å): 5.6672 5.6672 10.2970
angles (deg): 90.00 90.00 120.00
Space group P-31c (No. 163)
One atom of each set of equivalent atoms:
Li1 0.3333 0.6667 0.2500
Np1 0.3333 0.6667 0.7500
Ag1 0.0000 0.0000 0.0000
F1 0.0107 0.3664 0.1406

Its crystal system is trigonal. As for the final energy: -108.00 eV/cell. For the density of states at the Fermi level, the calculation gives 12.21 states/eV/f.u. The energy relative to the elements, uncorrected comes out at -2.785 eV per atom.

=====

No. 2
This record from Alexandria describes a relaxed Li2NpAgF8 crystal. The functional is PBE.

a b c (Å): 5.4772 5.4772 7.4696
angles (deg): 90.00 90.00 120.00
Space group P-3m1 (No. 164)
One atom of each set of equivalent atoms:
Li1 0.3333 0.6667 0.1634
Np1 0.0000 0.0000 0.5000
Ag1 0.0000 0.0000 0.0000
F1 0.1696 0.3392 0.3255
F2 0.3333 0.6667 0.9295

Its crystal system is trigonal. As for the final energy: -65.82 eV/cell. For the density of states at the Fermi level, the calculation gives 11.80 states/eV/f.u. The energy relative to the elements, uncorrected comes out at -2.603 eV per atom.